1.
Crystalline ErNiGe at its relaxed geometry. Source: the Alexandria database, functional PBE-GGA.

Output
- energy relative to the elements (meV per atom) = -765
- spin magnetization (μB per cell) = 0.00

a = 3.514 Å, b = 4.200 Å, c = 4.200 Å
α = 120.00°, β = 90.00°, γ = 90.00°
Atoms (fractional coordinates):
Ni 0.166 0.000 0.000
Ge 0.167 0.333 0.667
Er 0.667 0.667 0.333

2.
Crystalline CsGeO at its relaxed geometry. Source: the Alexandria database, functional PBE-GGA.

Output
- excess energy over the best structure of this formula in the dataset (meV per atom) = 339
- uncorrected formation energy (meV/atom) = -728
- spin magnetization (μB per cell) = 0.00

a = 3.359 Å, b = 4.531 Å, c = 5.536 Å
α = 90.00°, β = 90.51°, γ = 90.00°
Atoms (fractional coordinates):
Cs 0.785 0.500 0.289
Ge 0.279 0.000 0.809
O 0.776 0.000 0.617

3.
Crystalline AcTb6Sm at its relaxed geometry. Source: the Alexandria database, functional PBE-GGA.

Output
- excess energy over the best structure of this formula in the dataset (meV per atom) = 357
- energy relative to the elements (meV per atom) = 393
- spin magnetization (μB per cell) = 0.00

a = 5.987 Å, b = 5.987 Å, c = 8.946 Å
α = 79.56°, β = 79.56°, γ = 72.04°
Atoms (fractional coordinates):
Ac 0.000 0.000 0.000
Tb 0.518 0.043 0.300
Tb 0.043 0.518 0.300
Tb 0.957 0.482 0.700
Tb 0.482 0.957 0.700
Tb 0.377 0.377 0.920
Tb 0.623 0.623 0.080
Sm 0.500 0.500 0.500

4.
Crystalline MnTc2Br2 at its relaxed geometry. Source: the Alexandria database, functional PBE-GGA.

Output
- excess energy over the best structure of this formula in the dataset (meV per atom) = 0
- uncorrected formation energy (meV/atom) = 1408
- spin magnetization (μB per cell) = 0.02

a = 7.312 Å, b = 7.312 Å, c = 2.988 Å
α = 90.00°, β = 90.00°, γ = 90.00°
Atoms (fractional coordinates):
Mn 0.000 0.000 0.000
Mn 0.500 0.500 0.000
Tc 0.154 0.654 0.500
Tc 0.654 0.846 0.500
Tc 0.846 0.346 0.500
Tc 0.346 0.154 0.500
Br 0.349 0.849 0.000
Br 0.849 0.651 0.000
Br 0.651 0.151 0.000
Br 0.151 0.349 0.000

5.
Crystalline LiPa2Ge at its relaxed geometry. Source: the Alexandria database, functional PBE-GGA.

Output
- energy relative to the elements (meV per atom) = -125
- spin magnetization (μB per cell) = 0.00

a = 4.505 Å, b = 4.272 Å, c = 4.272 Å
α = 90.00°, β = 90.00°, γ = 90.00°
Atoms (fractional coordinates):
Ge 0.500 0.000 0.000
Pa 0.000 0.000 0.500
Pa 0.000 0.500 0.000
Li 0.500 0.500 0.500

6.
Crystalline Ce3Ge5Sb12 at its relaxed geometry. Source: the Alexandria database, functional PBE-GGA.

Output
- uncorrected formation energy (meV/atom) = -58
- spin magnetization (μB per cell) = 0.00

a = 14.889 Å, b = 14.889 Å, c = 14.889 Å
α = 109.47°, β = 109.47°, γ = 109.47°
Atoms (fractional coordinates):
Ce 0.750 0.375 0.125
Ce 0.875 0.750 0.125
Ce 0.375 0.750 0.625
Ce 0.250 0.125 0.375
Ce 0.875 0.125 0.250
Ce 0.375 0.625 0.250
Ce 0.625 0.375 0.750
Ce 0.125 0.875 0.750
Ce 0.750 0.875 0.625
Ce 0.625 0.250 0.375
Ce 0.125 0.250 0.875
Ce 0.250 0.625 0.875
Ge 0.125 0.375 0.250
Ge 0.000 0.500 0.000
Ge 0.000 0.000 0.000
Ge 0.375 0.250 0.125
Ge 0.500 0.000 0.500
Ge 0.500 0.500 0.000
Ge 0.125 0.750 0.375
Ge 0.750 0.125 0.875
Ge 0.750 0.625 0.375
Ge 0.375 0.125 0.750
Ge 0.625 0.875 0.250
Ge 0.500 0.500 0.500
Ge 0.500 0.000 0.000
Ge 0.000 0.000 0.500
Ge 0.250 0.375 0.625
Ge 0.250 0.875 0.125
Ge 0.000 0.500 0.500
Ge 0.875 0.250 0.625
Ge 0.625 0.750 0.875
Ge 0.875 0.625 0.750
Sb 0.726 0.133 0.050
Sb 0.324 0.550 0.417
Sb 0.950 0.367 0.274
Sb 0.550 0.226 0.133
Sb 0.593 0.726 0.676
Sb 0.950 0.583 0.176
Sb 0.324 0.774 0.407
Sb 0.083 0.907 0.133
Sb 0.583 0.950 0.676
Sb 0.726 0.593 0.176
Sb 0.774 0.450 0.367
Sb 0.824 0.917 0.050
Sb 0.133 0.726 0.550
Sb 0.367 0.417 0.093
Sb 0.093 0.917 0.367
Sb 0.407 0.133 0.583
Sb 0.093 0.176 0.226
Sb 0.450 0.676 0.083
Sb 0.824 0.907 0.274
Sb 0.133 0.407 0.083
Sb 0.367 0.950 0.774
Sb 0.583 0.633 0.407
Sb 0.917 0.824 0.550
Sb 0.774 0.324 0.907
Sb 0.417 0.367 0.593
Sb 0.083 0.176 0.450
Sb 0.226 0.676 0.093
Sb 0.176 0.093 0.726
Sb 0.633 0.050 0.226
Sb 0.867 0.593 0.917
Sb 0.550 0.324 0.917
Sb 0.593 0.867 0.417
Sb 0.907 0.824 0.774
Sb 0.907 0.083 0.633
Sb 0.867 0.274 0.450
Sb 0.176 0.083 0.950
Sb 0.633 0.583 0.907
Sb 0.417 0.050 0.324
Sb 0.274 0.407 0.824
Sb 0.226 0.550 0.633
Sb 0.917 0.093 0.867
Sb 0.676 0.226 0.593
Sb 0.450 0.774 0.867
Sb 0.050 0.417 0.824
Sb 0.407 0.274 0.324
Sb 0.050 0.633 0.726
Sb 0.676 0.450 0.583
Sb 0.274 0.867 0.950

7.
Crystalline TlZnPb2 at its relaxed geometry. Source: the Alexandria database, functional PBE-GGA.

Output
- energy relative to the elements (meV per atom) = 130
- spin magnetization (μB per cell) = 0.00

a = 5.548 Å, b = 5.548 Å, c = 3.622 Å
α = 90.00°, β = 90.00°, γ = 93.74°
Atoms (fractional coordinates):
Pb 0.000 0.000 0.000
Pb 0.500 0.500 0.000
Tl 0.500 0.000 0.500
Zn 0.000 0.500 0.500

8.
Crystalline RuCN3 at its relaxed geometry. Source: the Alexandria database, functional PBE-GGA.

Output
- uncorrected formation energy (meV/atom) = 2647
- spin magnetization (μB per cell) = 0.36

a = 3.833 Å, b = 3.833 Å, c = 3.833 Å
α = 90.00°, β = 90.00°, γ = 90.00°
Each line ends with the local moment (μB).
Atoms (fractional coordinates):
Ru 0.000 0.000 0.000  0.52
C 0.500 0.500 0.500  0.71
N 0.000 0.500 0.000  -0.63
N 0.000 0.000 0.500  -0.57
N 0.500 0.000 0.000  -0.46

9.
Crystalline MgCdB2H at its relaxed geometry. Source: the Alexandria database, functional PBE-GGA.

Output
- spin magnetization (μB per cell) = 0.00
- DFT total energy (eV/f.u.) = -11.86

a = 4.582 Å, b = 3.440 Å, c = 4.582 Å
α = 90.00°, β = 90.00°, γ = 90.00°
Atoms (fractional coordinates):
H 0.000 0.500 0.000
Mg 0.000 0.000 0.000
B 0.000 0.000 0.500
B 0.500 0.000 0.000
Cd 0.500 0.500 0.500

10.
Crystalline Tb2ErIn2Hg2 at its relaxed geometry. Source: the Alexandria database, functional PBE-GGA.

Output
- energy relative to the elements (meV per atom) = -246
- spin magnetization (μB per cell) = 0.00

a = 4.941 Å, b = 4.941 Å, c = 9.282 Å
α = 74.57°, β = 74.57°, γ = 60.00°
Atoms (fractional coordinates):
Tb 0.130 0.130 0.609
Tb 0.870 0.870 0.391
Er 0.000 0.000 0.000
In 0.729 0.729 0.812
In 0.271 0.271 0.188
Hg 0.576 0.576 0.272
Hg 0.424 0.424 0.728

11.
Crystalline La3Sm4Au4 at its relaxed geometry. Source: the Alexandria database, functional PBE-GGA.

Output
- energy relative to the elements (meV per atom) = -557
- spin magnetization (μB per cell) = 0.00

a = 4.982 Å, b = 7.869 Å, c = 9.368 Å
α = 114.83°, β = 105.42°, γ = 90.00°
Atoms (fractional coordinates):
La 0.100 0.100 0.199
La 0.900 0.900 0.801
La 0.000 0.500 0.000
Sm 0.327 0.109 0.654
Sm 0.673 0.455 0.346
Sm 0.673 0.891 0.346
Sm 0.327 0.545 0.654
Au 0.203 0.703 0.405
Au 0.797 0.297 0.595
Au 0.500 0.809 0.000
Au 0.500 0.191 0.000

12.
Crystalline CdAg4Sb at its relaxed geometry. Source: the Alexandria database, functional PBE-GGA.

Output
- excess energy over the best structure of this formula in the dataset (meV per atom) = 0
- uncorrected formation energy (meV/atom) = 30
- spin magnetization (μB per cell) = 0.00

a = 5.163 Å, b = 9.065 Å, c = 5.123 Å
α = 90.00°, β = 90.45°, γ = 90.00°
Atoms (fractional coordinates):
Cd 0.500 0.000 0.500
Cd 0.000 0.500 0.500
Ag 0.000 0.668 0.000
Ag 0.500 0.168 0.000
Ag 0.500 0.328 0.500
Ag 0.000 0.828 0.500
Ag 0.000 0.332 0.000
Ag 0.500 0.832 0.000
Ag 0.500 0.672 0.500
Ag 0.000 0.172 0.500
Sb 0.000 0.000 0.000
Sb 0.500 0.500 0.000